No. 1
# K2SrPb | the Alexandria database | GGA-PBE | relaxed
data_K2SrPb
_cell_length_a 6.126
_cell_length_b 6.126
_cell_length_c 8.657
_cell_angle_alpha 90.00
_cell_angle_beta 90.00
_cell_angle_gamma 90.00
_symmetry_space_group_name_H-M 'I -4 m 2'
_symmetry_Int_Tables_number 119
_symmetry_space_group_name_Hall 'I -4 -2'
loop_
_atom_site_label
_atom_site_type_symbol
_atom_site_fract_x
_atom_site_fract_y
_atom_site_fract_z
K1 K 0.000 0.000 0.000
K2 K 0.000 0.500 0.250
Sr1 Sr 0.000 0.000 0.500
Pb1 Pb 0.000 0.500 0.750
# calculated formation energy	-171	meV per atom

No. 2
# KSr2Pb | the Alexandria database | GGA-PBE | relaxed
data_KSr2Pb
_cell_length_a 5.474
_cell_length_b 5.474
_cell_length_c 10.972
_cell_angle_alpha 90.00
_cell_angle_beta 90.00
_cell_angle_gamma 90.00
_symmetry_space_group_name_H-M 'I -4 m 2'
_symmetry_Int_Tables_number 119
_symmetry_space_group_name_Hall 'I -4 -2'
loop_
_atom_site_label
_atom_site_type_symbol
_atom_site_fract_x
_atom_site_fract_y
_atom_site_fract_z
K1 K 0.000 0.000 0.000
Sr1 Sr 0.000 0.000 0.500
Sr2 Sr 0.000 0.500 0.250
Pb1 Pb 0.000 0.500 0.750
# calculated formation energy	-106	meV per atom

No. 3
# KSr4Pb | the Alexandria database | GGA-PBE | relaxed
data_KSr4Pb
_cell_length_a 10.799
_cell_length_b 10.799
_cell_length_c 10.799
_cell_angle_alpha 90.00
_cell_angle_beta 90.00
_cell_angle_gamma 90.00
_symmetry_space_group_name_H-M 'F -4 3 m'
_symmetry_Int_Tables_number 216
_symmetry_space_group_name_Hall 'F -4 2 3'
loop_
_atom_site_label
_atom_site_type_symbol
_atom_site_fract_x
_atom_site_fract_y
_atom_site_fract_z
K1 K 0.000 0.000 0.000
Sr1 Sr 0.124 0.124 0.376
Pb1 Pb 0.250 0.250 0.750
# calculated formation energy	210	meV per atom

No. 4
# KSr2Pb | the Alexandria database | GGA-PBE | relaxed
data_KSr2Pb
_cell_length_a 5.718
_cell_length_b 5.718
_cell_length_c 4.986
_cell_angle_alpha 90.00
_cell_angle_beta 90.00
_cell_angle_gamma 90.00
_symmetry_space_group_name_H-M 'P 4/m m m'
_symmetry_Int_Tables_number 123
_symmetry_space_group_name_Hall '-P 4 2'
loop_
_atom_site_label
_atom_site_type_symbol
_atom_site_fract_x
_atom_site_fract_y
_atom_site_fract_z
K1 K 0.000 0.000 0.000
Sr1 Sr 0.000 0.500 0.500
Pb1 Pb 0.500 0.500 0.000
# calculated formation energy	-161	meV per atom

No. 5
# KSr2Pb | the Alexandria database | GGA-PBE | relaxed
data_KSr2Pb
_cell_length_a 9.615
_cell_length_b 4.252
_cell_length_c 10.527
_cell_angle_alpha 90.00
_cell_angle_beta 97.28
_cell_angle_gamma 90.00
_symmetry_space_group_name_H-M 'C 1 2/m 1'
_symmetry_Int_Tables_number 12
loop_
_symmetry_equiv_pos_as_xyz
'x,y,z'
'-x,-y,-z'
'-x,y,-z'
'x,-y,z'
'x+1/2,y+1/2,z'
'-x+1/2,-y+1/2,-z'
'-x+1/2,y+1/2,-z'
'x+1/2,-y+1/2,z'
loop_
_atom_site_label
_atom_site_type_symbol
_atom_site_fract_x
_atom_site_fract_y
_atom_site_fract_z
K1 K 0.000 0.000 0.000
Sr1 Sr 0.224 0.000 0.668
Pb1 Pb 0.000 0.500 0.500
# calculated formation energy	-176	meV per atom

No. 6
# K2SrPb | the Alexandria database | GGA-PBE | relaxed
data_K2SrPb
_cell_length_a 5.131
_cell_length_b 5.131
_cell_length_c 27.532
_cell_angle_alpha 90.00
_cell_angle_beta 90.00
_cell_angle_gamma 90.00
_symmetry_space_group_name_H-M 'I -4 2 d'
_symmetry_Int_Tables_number 122
_symmetry_space_group_name_Hall 'I -4 2bw'
loop_
_atom_site_label
_atom_site_type_symbol
_atom_site_fract_x
_atom_site_fract_y
_atom_site_fract_z
K1 K 0.224 0.250 0.125
Sr1 Sr 0.000 0.000 0.500
Pb1 Pb 0.000 0.000 0.000
# calculated formation energy	4	meV per atom

No. 7
# KSr2Pb | the Alexandria database | GGA-PBE | relaxed
data_KSr2Pb
_cell_length_a 5.558
_cell_length_b 5.558
_cell_length_c 24.233
_cell_angle_alpha 90.00
_cell_angle_beta 90.00
_cell_angle_gamma 90.00
_symmetry_space_group_name_H-M 'I -4 2 d'
_symmetry_Int_Tables_number 122
_symmetry_space_group_name_Hall 'I -4 2bw'
loop_
_atom_site_label
_atom_site_type_symbol
_atom_site_fract_x
_atom_site_fract_y
_atom_site_fract_z
K1 K 0.000 0.000 0.000
Sr1 Sr 0.221 0.250 0.625
Pb1 Pb 0.000 0.000 0.500
# calculated formation energy	99	meV per atom

No. 8
# KSr2Pb | the Alexandria database | GGA-PBE | relaxed
data_KSr2Pb
_cell_length_a 4.112
_cell_length_b 4.112
_cell_length_c 11.318
_cell_angle_alpha 90.00
_cell_angle_beta 90.00
_cell_angle_gamma 90.00
_symmetry_space_group_name_H-M 'P 4/m m m'
_symmetry_Int_Tables_number 123
_symmetry_space_group_name_Hall '-P 4 2'
loop_
_atom_site_label
_atom_site_type_symbol
_atom_site_fract_x
_atom_site_fract_y
_atom_site_fract_z
K1 K 0.000 0.000 0.000
Sr1 Sr 0.500 0.500 0.321
Pb1 Pb 0.000 0.000 0.500
# calculated formation energy	-238	meV per atom

No. 9
# KSr2Pb | the Alexandria database | GGA-PBE | relaxed
data_KSr2Pb
_cell_length_a 8.740
_cell_length_b 8.740
_cell_length_c 8.740
_cell_angle_alpha 90.00
_cell_angle_beta 90.00
_cell_angle_gamma 90.00
_symmetry_space_group_name_H-M 'F -4 3 m'
_symmetry_Int_Tables_number 216
_symmetry_space_group_name_Hall 'F -4 2 3'
loop_
_atom_site_label
_atom_site_type_symbol
_atom_site_fract_x
_atom_site_fract_y
_atom_site_fract_z
K1 K 0.000 0.000 0.000
Sr1 Sr 0.000 0.000 0.500
Sr2 Sr 0.250 0.250 0.750
Pb1 Pb 0.250 0.250 0.250
# calculated formation energy	-84	meV per atom

No. 10
# K4SrPb | the Alexandria database | GGA-PBE | relaxed
data_K4SrPb
_cell_length_a 10.718
_cell_length_b 10.718
_cell_length_c 10.718
_cell_angle_alpha 90.00
_cell_angle_beta 90.00
_cell_angle_gamma 90.00
_symmetry_space_group_name_H-M 'F -4 3 m'
_symmetry_Int_Tables_number 216
_symmetry_space_group_name_Hall 'F -4 2 3'
loop_
_atom_site_label
_atom_site_type_symbol
_atom_site_fract_x
_atom_site_fract_y
_atom_site_fract_z
K1 K 0.123 0.123 0.123
Sr1 Sr 0.000 0.000 0.500
Pb1 Pb 0.250 0.250 0.750
# calculated formation energy	178	meV per atom

No. 11
# K2SrPb | the Alexandria database | GGA-PBE | relaxed
data_K2SrPb
_cell_length_a 5.273
_cell_length_b 5.273
_cell_length_c 12.396
_cell_angle_alpha 90.00
_cell_angle_beta 90.00
_cell_angle_gamma 90.00
_symmetry_space_group_name_H-M 'I 4/m m m'
_symmetry_Int_Tables_number 139
_symmetry_space_group_name_Hall '-I 4 2'
loop_
_atom_site_label
_atom_site_type_symbol
_atom_site_fract_x
_atom_site_fract_y
_atom_site_fract_z
K1 K 0.000 0.500 0.250
Sr1 Sr 0.000 0.000 0.000
Pb1 Pb 0.000 0.000 0.500
# calculated formation energy	-78	meV per atom

No. 12
# K3SrPb | the Alexandria database | GGA-PBE | relaxed
data_K3SrPb
_cell_length_a 6.867
_cell_length_b 6.867
_cell_length_c 6.867
_cell_angle_alpha 90.00
_cell_angle_beta 90.00
_cell_angle_gamma 90.00
_symmetry_space_group_name_H-M 'P m -3 m'
_symmetry_Int_Tables_number 221
_symmetry_space_group_name_Hall '-P 4 2 3'
loop_
_atom_site_label
_atom_site_type_symbol
_atom_site_fract_x
_atom_site_fract_y
_atom_site_fract_z
K1 K 0.000 0.000 0.500
Sr1 Sr 0.500 0.500 0.500
Pb1 Pb 0.000 0.000 0.000
# calculated formation energy	171	meV per atom
# energy relative to the lowest polymorph listed for this composition	0.0	meV per atom

No. 13
# K2SrPb | the Alexandria database | GGA-PBE | relaxed
data_K2SrPb
_cell_length_a 7.193
_cell_length_b 13.954
_cell_length_c 4.296
_cell_angle_alpha 90.00
_cell_angle_beta 123.45
_cell_angle_gamma 90.00
_symmetry_space_group_name_H-M 'C 1 2/m 1'
_symmetry_Int_Tables_number 12
loop_
_symmetry_equiv_pos_as_xyz
'x,y,z'
'-x,-y,-z'
'-x,y,-z'
'x,-y,z'
'x+1/2,y+1/2,z'
'-x+1/2,-y+1/2,-z'
'-x+1/2,y+1/2,-z'
'x+1/2,-y+1/2,z'
loop_
_atom_site_label
_atom_site_type_symbol
_atom_site_fract_x
_atom_site_fract_y
_atom_site_fract_z
K1 K 0.250 0.250 0.000
Sr1 Sr 0.000 0.000 0.500
Pb1 Pb 0.000 0.500 0.500
# calculated formation energy	-32	meV per atom

No. 14
# K2SrTePb | the Alexandria database | GGA-PBE | relaxed
data_K2SrTePb
_cell_length_a 6.340
_cell_length_b 6.340
_cell_length_c 6.469
_cell_angle_alpha 90.00
_cell_angle_beta 90.00
_cell_angle_gamma 90.00
_symmetry_space_group_name_H-M 'P 4/m m m'
_symmetry_Int_Tables_number 123
_symmetry_space_group_name_Hall '-P 4 2'
loop_
_atom_site_label
_atom_site_type_symbol
_atom_site_fract_x
_atom_site_fract_y
_atom_site_fract_z
K1 K 0.000 0.500 0.000
Sr1 Sr 0.000 0.000 0.500
Te1 Te 0.500 0.500 0.500
Pb1 Pb 0.000 0.000 0.000
# final energy	-2.276	eV per atom

Results for density of states at the Fermi level: 9.8; 5.0; 31.9; 1.4; 3.9; 22.1; 11.8; 3.6; 10.0; 12.9; 4.9; 2.4; 3.1; 3.5 (in states/eV/cell, following the order of the records).
Results for total magnetic moment: 0.0; 1.5; 0.0; 0.9; 0.0; 0.0; 0.0; 0.0; 0.0; 0.0; 0.0; 1.0; 0.0; 1.8 (in Bohr magnetons per cell, following the order of the records).